No. 1
ZnRu3Pt after structural relaxation. Source: the Alexandria database, functional PBE.

Summary:
V: 110.8 Å³/f.u.
Distance to the lowest polymorph of the same formula: 1.07 eV per formula unit

Cell: 4.803 4.803 4.803 Å, 90.00 90.00 90.00°
Fractional coordinates of all 5 atoms:
Ru 0.000 0.000 0.500
Pt 0.000 0.000 0.000
Ru 0.000 0.500 0.000
Zn 0.500 0.500 0.500
Ru 0.500 0.000 0.000

No. 2
Rb2SnHg8 after structural relaxation. Source: the Alexandria database, functional PBE.

Summary:
V: 347.8 Å³/f.u.
Uncorrected energy: -0.885 eV per atom

Cell: 5.823 7.148 9.136 Å, 104.42 108.58 90.00°
Fractional coordinates of all 11 atoms:
Hg 0.654 0.877 0.309
Hg 0.417 0.564 0.834
Hg 0.844 0.893 0.687
Hg 0.583 0.436 0.166
Rb 0.208 0.647 0.416
Sn 0.500 0.000 0.000
Rb 0.792 0.353 0.584
Hg 0.999 0.739 0.997
Hg 0.346 0.123 0.691
Hg 0.001 0.261 0.003
Hg 0.156 0.107 0.313

No. 3
Sn6Pd8Pt after structural relaxation. Source: the Alexandria database, functional PBE.

Summary:
V: 291.6 Å³/f.u.
Uncorrected energy: -5.193 eV per atom

Cell: 7.860 7.860 7.092 Å, 56.35 56.35 60.00°
Fractional coordinates of all 15 atoms:
Sn 0.595 0.966 0.248
Pd 0.843 0.560 0.283
Sn 0.190 0.595 0.248
Pd 0.560 0.314 0.283
Pd 0.686 0.157 0.717
Pd 0.440 0.686 0.717
Pd 0.309 0.309 0.073
Pt 0.000 0.000 0.000
Sn 0.034 0.810 0.752
Sn 0.810 0.405 0.752
Sn 0.405 0.034 0.752
Pd 0.157 0.440 0.717
Pd 0.314 0.843 0.283
Sn 0.966 0.190 0.248
Pd 0.691 0.691 0.927

No. 4
AcSn4Ru2 after structural relaxation. Source: the Alexandria database, functional PBE.

Summary:
V: 158.9 Å³/f.u.
Uncorrected energy: -5.871 eV per atom

Cell: 4.607 7.215 19.120 Å, 90.00 90.00 90.00°
Fractional coordinates of all 28 atoms:
Ac 0.250 0.501 0.859
Sn 0.250 0.696 0.683
Sn 0.250 0.144 0.530
Ac 0.750 0.499 0.141
Ru 0.750 0.014 0.215
Sn 0.750 0.716 0.304
Ru 0.750 0.253 0.463
Sn 0.250 0.004 0.929
Sn 0.750 0.784 0.804
Sn 0.750 0.644 0.970
Sn 0.750 0.504 0.571
Ru 0.250 0.753 0.037
Ru 0.250 0.747 0.537
Ru 0.750 0.486 0.715
Sn 0.750 0.196 0.817
Ac 0.750 0.001 0.641
Sn 0.250 0.216 0.196
Ru 0.750 0.247 0.963
Sn 0.250 0.804 0.183
Sn 0.250 0.284 0.696
Ru 0.250 0.514 0.285
Ac 0.250 0.999 0.359
Sn 0.750 0.856 0.470
Sn 0.250 0.356 0.030
Sn 0.750 0.996 0.071
Sn 0.250 0.496 0.429
Sn 0.750 0.304 0.317
Ru 0.250 0.986 0.785

No. 5
PmSc3Cd after structural relaxation. Source: the Alexandria database, functional PBE.

Summary:
V: 138.5 Å³/f.u.
Uncorrected energy: -4.804 eV per atom

Cell: 5.753 7.455 7.455 Å, 120.00 90.00 90.00°
Fractional coordinates of all 10 atoms:
Sc 0.250 0.804 0.196
Sc 0.750 0.608 0.804
Sc 0.250 0.392 0.196
Cd 0.000 0.000 0.000
Cd 0.500 0.000 0.000
Sc 0.750 0.196 0.804
Pm 0.750 0.667 0.333
Sc 0.250 0.804 0.608
Sc 0.750 0.196 0.392
Pm 0.250 0.333 0.667

No. 6
Tb8NdEr5 after structural relaxation. Source: the Alexandria database, functional PBE.

Summary:
V: 459.0 Å³/f.u.
Uncorrected energy: -4.368 eV per atom

Cell: 8.428 8.428 8.428 Å, 111.60 105.30 111.60°
Fractional coordinates of all 14 atoms:
Tb 0.921 0.085 0.659
Tb 0.532 0.606 0.278
Er 0.865 0.905 0.185
Er 0.500 0.000 0.500
Tb 0.074 0.747 0.468
Tb 0.673 0.394 0.926
Tb 0.574 0.915 0.836
Tb 0.722 0.253 0.327
Er 0.280 0.095 0.960
Tb 0.164 0.739 0.079
Tb 0.341 0.261 0.426
Er 0.815 0.679 0.720
Nd 0.250 0.500 0.750
Er 0.040 0.321 0.135

No. 7
Ta2InNiIr after structural relaxation. Source: the Alexandria database, functional PBE.

Summary:
V: 94.8 Å³/f.u.
Uncorrected energy: -7.412 eV per atom

Cell: 4.561 4.558 4.561 Å, 90.00 90.00 90.00°
Fractional coordinates of all 5 atoms:
In 0.000 0.500 0.000
Ta 0.500 0.000 0.000
Ta 0.000 0.000 0.500
Ir 0.500 0.500 0.500
Ni 0.000 0.000 0.000

No. 8
SnPbO3 after structural relaxation. Source: the Alexandria database, functional PBE.

Summary:
V: 70.6 Å³/f.u.
Formation energy from raw total energies: -1.385 eV per atom

Cell: 5.827 5.827 10.107 Å, 74.03 74.03 60.23°
Fractional coordinates of all 20 atoms:
Sn 0.249 0.751 0.750
Sn 0.500 0.000 0.000
O 0.365 0.338 0.360
O 0.132 0.157 0.651
O 0.128 0.691 0.591
O 0.843 0.868 0.849
Pb 0.904 0.360 0.868
Sn 0.000 0.500 0.500
O 0.635 0.662 0.640
O 0.662 0.635 0.140
Pb 0.360 0.904 0.368
Pb 0.640 0.096 0.632
Sn 0.751 0.249 0.250
O 0.872 0.309 0.409
O 0.691 0.128 0.091
O 0.338 0.365 0.860
O 0.868 0.843 0.349
O 0.309 0.872 0.909
Pb 0.096 0.640 0.132
O 0.157 0.132 0.151